P:
This record from Alexandria via LeMat-Bulk describes an optimized crystal structure of HfThCd. The functional is PBE.

abc: 3.2782 3.2782 7.4950
angles: 102.63 102.63 90.00
With the nearest neighbours (Å) after each atom.
Atoms (fractional coordinates):
Cd  0.3213  0.3213  0.6426  4 Hf 3.12, 4 Cd 3.28, 4 Th 3.49
Hf  0.6745  0.6745  0.3490  4 Cd 3.12, 4 Hf 3.28, 4 Th 3.36
Th  0.0042  0.0042  0.0085  4 Th 3.28, 4 Hf 3.36, 4 Cd 3.49

Computed properties:
The crystal system is tetragonal. The calculated density is 11.336 g/cm3. As for the total magnetization: 0.0 μB per formula unit.

---

Q:
This record from Alexandria via LeMat-Bulk describes an optimized crystal structure of HfThCd. The functional is PBE.

abc: 3.2496 5.6118 8.8285
angles: 90.00 90.00 90.00
With the nearest neighbours (Å) after each atom.
Atoms (fractional coordinates):
Th  0.0000  0.0000  0.0697  6 Th 3.25-3.47, 4 Hf 3.25-3.30, 1 Cd 3.29
Th  0.5000  0.5000  0.9303  6 Th 3.25-3.47, 4 Hf 3.25-3.30, 1 Cd 3.29
Cd  0.0000  0.0000  0.4425  4 Hf 3.12-3.25, 6 Cd 3.25-3.40, 1 Th 3.29
Cd  0.5000  0.5000  0.5575  4 Hf 3.12-3.25, 6 Cd 3.25-3.40, 1 Th 3.29
Hf  0.0000  0.5000  0.2557  4 Cd 3.12-3.25, 2 Hf 3.25, 4 Th 3.25-3.30
Hf  0.5000  0.0000  0.7443  4 Cd 3.12-3.25, 2 Hf 3.25, 4 Th 3.25-3.30

Computed properties:
The crystal system is orthorhombic. The calculated density is 10.787 g/cm3. As for the total magnetization: 0.0 μB per formula unit.

---

Which is most stable? The ranking, best first, is P, Q.

---

P:
This record from Alexandria via LeMat-Bulk describes an optimized crystal structure of SrTcRh. The functional is PBE.

abc: 4.6042 4.6042 6.7471
angles: 90.00 90.00 90.00
With the nearest neighbours (Å) after each atom.
Atoms (fractional coordinates):
Tc  0.0000  0.0000  0.5000  4 Rh 2.50
Tc  0.5000  0.5000  0.5000  4 Rh 2.50
Rh  0.0000  0.5000  0.3546  4 Tc 2.50
Rh  0.5000  0.0000  0.6454  4 Tc 2.50
Sr  0.0000  0.5000  0.8473  4 Tc 3.29, 6 Rh 3.32-3.53
Sr  0.5000  0.0000  0.1527  4 Tc 3.29, 6 Rh 3.32-3.53

Computed properties:
The crystal system is tetragonal. The calculated density is 6.700 g/cm3. As for the total magnetization: 0.0 μB per formula unit.

---

Q:
This record from Alexandria via LeMat-Bulk describes an optimized crystal structure of SrTcRh. The functional is PBE.

abc: 5.0190 4.4386 6.8579
angles: 88.85 94.21 80.90
With the nearest neighbours (Å) after each atom.
Atoms (fractional coordinates):
Rh  0.4515  0.2017  0.0185  4 Tc 2.53-2.65, 2 Rh 2.74-2.76
Rh  0.7810  0.6397  0.0364  4 Tc 2.53-2.65, 2 Rh 2.74-2.76
Tc  0.9611  0.1111  0.9249  1 Tc 2.45, 4 Rh 2.53-2.65
Tc  0.2713  0.7303  0.1300  1 Tc 2.45, 4 Rh 2.53-2.65
Sr  0.3784  0.6645  0.6782  2 Rh 3.04-3.05, 2 Tc 3.19-3.24
Sr  0.8541  0.1766  0.3768  2 Rh 3.04-3.05, 2 Tc 3.19-3.24

Computed properties:
The crystal system is triclinic. The calculated density is 6.372 g/cm3. As for the total magnetization: 0.0 μB per formula unit.

---

Which is most stable? The ranking, best first, is P, Q.